#w
First-principles (PBE) data for a relaxed ScHgNO crystal, as listed in OQMD via LeMat-Bulk.

Calculated values
Its space group is Pca2_1 (29).

```
16
Lattice="-5.171 -2.078 2.471 3.111 -6.614 0.948 1.905 1.669 5.391" Properties=species:S:1:pos:R:3 pbc="T T T"
O 2.050 -2.013 4.444
Sc 0.800 -2.728 0.757
N 3.791 -4.728 4.075
N 0.335 -6.569 2.576
Hg 2.005 -5.795 3.598
Hg 3.313 -4.817 6.124
Sc -1.108 -5.207 2.198
N -1.059 -0.953 4.620
Hg -2.965 -1.766 4.107
O -2.430 -5.208 3.725
O -0.163 -3.845 5.793
O -0.218 -3.376 2.377
Sc 0.114 -2.552 4.235
N -4.515 -2.794 3.121
Sc -1.794 -5.031 5.677
Hg -1.657 -0.788 6.633
```

---

#x
First-principles (PBE) data for a relaxed ScHgNO crystal, as listed in OQMD via LeMat-Bulk.

Calculated values
Its space group is Pmc2_1 (26).

```
8
Lattice="-1.886 -3.267 0.000 0.000 0.000 5.654 -5.140 2.968 0.000" Properties=species:S:1:pos:R:3 pbc="T T T"
Sc -1.622 0.937 2.806
O -5.084 0.757 5.209
Sc -3.518 2.031 5.633
O -1.942 -1.057 2.382
N -3.295 1.903 2.060
Hg -4.986 0.701 2.670
N -1.845 1.065 4.887
Hg -2.040 -1.000 5.497
```

---

Energies relative to the minimum, kJ/mol of atoms: #w 0.0; #x 7.5

---

#w
First-principles (PBE) data for a relaxed SiHgNO crystal, as listed in OQMD via LeMat-Bulk.

Calculated values
Its space group is Pmc2_1 (26).

```
8
Lattice="-1.843 2.252 -0.061 -1.282 -1.180 -4.870 -5.369 -4.328 2.462" Properties=species:S:1:pos:R:3 pbc="T T T"
Si -2.912 -0.624 -4.546
N -2.639 -2.270 -4.086
N -4.577 -3.759 -0.468
O -7.132 -3.994 -1.410
Hg -2.674 -2.231 -1.580
Hg -3.373 -2.721 1.469
O -1.425 0.680 -1.298
Si -6.210 -3.209 -0.304
```

---

#x
First-principles (PBE) data for a relaxed SiHgNO crystal, as listed in OQMD via LeMat-Bulk.

Calculated values
Its space group is P4/nmm (129).

```
8
Lattice="-0.928 0.987 3.698 -3.083 -2.448 -0.120 4.072 -5.247 2.423" Properties=species:S:1:pos:R:3 pbc="T T T"
Si 0.569 -2.495 3.955
N -1.019 -3.659 3.867
N 1.080 -3.049 2.134
O -2.544 -1.589 0.834
Si -0.508 -4.213 2.046
Hg -0.368 -1.183 1.272
O -1.467 0.129 2.743
Hg 0.430 -5.525 4.729
```

---

#y
First-principles (PBE) data for a relaxed SiHgNO crystal, as listed in OQMD via LeMat-Bulk.

Calculated values
Its space group is Pca2_1 (29).

```
16
Lattice="5.173 0.000 0.000 0.000 7.187 0.000 0.000 0.000 6.422" Properties=species:S:1:pos:R:3 pbc="T T T"
O 4.651 3.248 0.937
O 2.065 3.939 0.937
O 3.109 3.248 4.148
N 2.455 6.018 3.933
N 2.718 1.169 0.722
Hg 3.624 6.239 5.733
Hg 1.549 0.948 2.522
Si 0.566 4.415 0.331
Si 3.152 2.771 0.331
Hg 4.136 6.239 2.522
Si 2.021 4.415 3.542
O 0.522 3.939 4.148
Hg 1.037 0.948 5.733
N 0.132 6.018 0.722
Si 4.608 2.771 3.542
N 5.042 1.169 3.933
```

---

Energies relative to the minimum, kJ/mol of atoms: #w 0.0; #x 122.4; #y 61.0

---

#w
First-principles (PBE) data for a relaxed SnHgNO crystal, as listed in OQMD via LeMat-Bulk.

Calculated values
Its space group is Pmc2_1 (26).

```
8
Lattice="3.467 0.000 0.000 0.000 6.042 0.000 0.000 0.000 6.775" Properties=species:S:1:pos:R:3 pbc="T T T"
O 1.734 5.041 6.006
Hg 0.000 0.126 4.299
Hg 0.000 3.147 2.476
N 0.000 2.431 4.744
N 0.000 5.452 2.032
O 1.734 2.020 0.769
Sn 1.734 6.019 1.038
Sn 1.734 2.998 5.737
```

---

#x
First-principles (PBE) data for a relaxed SnHgNO crystal, as listed in OQMD via LeMat-Bulk.

Calculated values
Its space group is Pca2_1 (29).

```
16
Lattice="-3.728 0.277 5.040 4.265 -5.461 3.456 3.375 4.073 2.273" Properties=species:S:1:pos:R:3 pbc="T T T"
O -0.713 -0.411 3.148
N 1.605 0.472 5.837
Sn 2.717 -1.233 5.272
Hg 2.109 -2.546 8.749
Hg 0.679 1.533 3.560
Sn 5.589 0.715 4.807
N -1.212 -1.481 6.229
Sn 2.791 2.049 6.571
O 2.596 1.505 2.092
N 4.257 -0.676 3.956
O 0.254 -3.897 7.962
Hg 1.556 -4.668 6.079
O 3.563 -1.981 6.905
N 1.440 -2.628 4.347
Sn -0.081 0.100 7.036
Hg 0.126 -0.588 0.890
```

---

Energies relative to the minimum, kJ/mol of atoms: #w 0.0; #x 1.6

---

#w
First-principles (PBE) data for a relaxed SnHgNO crystal, as listed in OQMD via LeMat-Bulk.

Calculated values
Its space group is Pmc2_1 (26).

```
8
Lattice="2.941 -2.313 1.114 -3.742 -3.442 2.731 -0.670 -3.294 -5.070" Properties=species:S:1:pos:R:3 pbc="T T T"
Sn -4.178 -5.659 -0.719
Hg -0.867 -5.472 -2.228
Hg -2.326 -5.163 2.261
N -3.468 -4.132 0.577
N -1.795 -3.388 -2.293
O -2.486 -6.932 -0.987
Sn -2.069 -2.766 -0.280
O -0.217 -3.251 0.663
```

---

#x
First-principles (PBE) data for a relaxed SnHgNO crystal, as listed in OQMD via LeMat-Bulk.

Calculated values
Its space group is P4/nmm (129).

```
8
Lattice="3.929 0.000 0.000 0.000 3.929 0.000 0.000 0.000 8.266" Properties=species:S:1:pos:R:3 pbc="T T T"
Sn 1.965 0.000 7.141
N 0.000 1.965 5.598
Hg 0.000 0.000 4.133
O 0.000 0.000 0.000
Hg 1.965 1.965 4.133
N 1.965 0.000 2.668
O 1.965 1.965 0.000
Sn 0.000 1.965 1.125
```

---

#y
First-principles (PBE) data for a relaxed SnHgNO crystal, as listed in OQMD via LeMat-Bulk.

Calculated values
Its space group is Pca2_1 (29).

```
16
Lattice="6.236 0.000 0.000 0.000 7.422 0.000 0.000 0.000 6.448" Properties=species:S:1:pos:R:3 pbc="T T T"
O 2.378 6.881 1.327
Hg 1.704 2.884 2.325
Hg 4.822 4.539 2.325
O 0.740 6.881 4.551
Sn 3.673 0.845 0.276
N 6.052 4.640 0.602
O 3.858 0.541 4.551
Hg 1.414 2.884 5.549
N 0.184 2.782 3.826
Sn 0.556 6.578 0.276
Hg 4.532 4.539 5.549
O 5.496 0.541 1.327
Sn 2.562 6.578 3.500
Sn 5.680 0.845 3.500
N 2.934 2.782 0.602
N 3.302 4.640 3.826
```

---

#z
First-principles (PBE) data for a relaxed SnHgNO crystal, as listed in OQMD via LeMat-Bulk.

Calculated values
Its space group is P4/nmm (129).

```
8
Lattice="-2.804 -1.002 -3.887 -0.937 -4.447 1.823 -3.836 1.757 2.315" Properties=species:S:1:pos:R:3 pbc="T T T"
Sn -1.918 0.878 1.157
O -1.870 -2.725 -1.032
Hg -5.233 1.253 0.368
Sn -3.788 -1.846 0.125
O 0.000 0.000 0.000
N -3.317 0.376 -0.788
N -2.390 -1.344 2.070
Hg -0.473 -2.221 0.914
```

---

Energies relative to the minimum, kJ/mol of atoms: #w 0.0; #x 42.5; #y 3.5; #z 21.5

---

#w
First-principles (PBE) data for a relaxed TcHgNO crystal, as listed in OQMD via LeMat-Bulk.

Calculated values
Its space group is P4/nmm (129).

```
8
Lattice="2.837 -2.840 0.000 2.837 2.840 0.000 0.000 0.000 9.345" Properties=species:S:1:pos:R:3 pbc="T T T"
Hg 1.419 0.000 0.000
Tc 2.837 -1.420 5.405
O 1.419 0.000 4.672
N 2.837 1.420 2.297
Hg 4.256 0.000 0.000
O 4.256 0.000 4.672
Tc 2.837 1.420 3.940
N 2.837 -1.420 7.048
```

---

#x
First-principles (PBE) data for a relaxed TcHgNO crystal, as listed in OQMD via LeMat-Bulk.

Calculated values
Its space group is Pmc2_1 (26).

```
8
Lattice="3.155 0.000 0.000 0.000 5.787 0.000 0.000 0.000 7.248" Properties=species:S:1:pos:R:3 pbc="T T T"
O 1.577 0.277 1.781
Tc 1.577 0.403 3.662
N 0.000 1.421 3.829
Hg 0.000 2.062 7.009
O 1.577 5.510 5.405
N 0.000 4.366 0.205
Hg 0.000 3.725 3.385
Tc 1.577 5.384 0.037
```

---

#y
First-principles (PBE) data for a relaxed TcHgNO crystal, as listed in OQMD via LeMat-Bulk.

Calculated values
Its space group is Pmc2_1 (26).

```
8
Lattice="-1.568 -2.716 0.000 0.000 0.000 6.030 -6.819 3.937 0.000" Properties=species:S:1:pos:R:3 pbc="T T T"
O -2.389 -0.431 2.996
Hg -1.666 -0.849 6.021
Tc -2.551 1.473 3.032
O -5.998 1.653 6.010
N -3.391 1.958 4.558
Hg -6.721 2.070 3.006
N -3.428 1.979 1.543
Tc -4.268 2.464 0.017
```

---

#z
First-principles (PBE) data for a relaxed TcHgNO crystal, as listed in OQMD via LeMat-Bulk.

Calculated values
Its space group is Pca2_1 (29).

```
16
Lattice="4.999 0.000 0.000 0.000 6.647 0.000 0.000 0.000 8.780" Properties=species:S:1:pos:R:3 pbc="T T T"
Tc 2.512 5.517 3.588
N 2.641 5.846 1.973
O 3.143 0.347 4.810
O 0.643 2.977 4.810
N 0.142 4.125 1.973
Hg 0.214 0.813 0.912
Hg 0.214 4.137 7.868
O 0.643 6.300 3.969
Tc 0.012 4.454 3.588
N 0.142 0.801 6.807
Tc 2.512 2.193 5.191
Hg 2.714 2.510 0.912
Hg 2.714 5.834 7.868
Tc 0.012 1.131 5.191
N 2.641 2.523 6.807
O 3.143 3.671 3.969
```

---

Energies relative to the minimum, kJ/mol of atoms: #w 16.2; #x 2.6; #y 0.0; #z 6.7

---

#w
First-principles (PBE) data for a relaxed HgTeNO crystal, as listed in OQMD via LeMat-Bulk.

Calculated values
Its space group is Pmc2_1 (26).

```
8
Lattice="-2.075 -3.594 0.000 0.000 0.000 4.999 -5.599 3.233 0.000" Properties=species:S:1:pos:R:3 pbc="T T T"
O -2.952 -0.692 2.139
Hg -1.834 -1.337 4.878
Te -1.858 1.073 2.368
N -3.587 2.071 1.883
N -2.012 1.162 4.383
O -4.722 0.330 4.638
Te -3.741 2.160 4.867
Hg -5.841 0.976 2.378
```

---

#x
First-principles (PBE) data for a relaxed HgTeNO crystal, as listed in OQMD via LeMat-Bulk.

Calculated values
Its space group is Pca2_1 (29).

```
16
Lattice="7.241 0.000 0.000 0.000 8.364 0.000 0.000 0.000 5.005" Properties=species:S:1:pos:R:3 pbc="T T T"
O 3.910 5.116 0.420
N 2.655 1.413 0.581
Hg 1.058 5.424 4.951
Te 6.513 6.949 2.569
Hg 6.183 2.941 2.449
Te 4.349 6.949 0.066
O 0.290 3.248 0.420
Te 2.892 1.415 2.569
Hg 2.563 5.424 2.449
Hg 4.679 2.941 4.951
O 6.952 5.116 2.923
Te 0.728 1.415 0.066
N 6.276 6.951 0.581
O 3.331 3.248 2.923
N 0.965 1.413 3.083
N 4.586 6.951 3.083
```

---

Energies relative to the minimum, kJ/mol of atoms: #w 1.0; #x 0.0

---

#w
First-principles (PBE) data for a relaxed HgTeNO crystal, as listed in OQMD via LeMat-Bulk.

Calculated values
Its space group is C2/m (12).

```
8
Lattice="3.597 3.655 -2.312 -5.510 -1.105 -0.261 -1.214 4.740 5.612" Properties=species:S:1:pos:R:3 pbc="T T T"
Te -2.877 6.318 1.890
N -1.844 4.742 2.821
O 2.479 3.071 -2.060
O -4.392 -0.521 -0.513
N -1.283 2.547 0.218
Hg -3.052 2.866 1.855
Hg -0.074 4.423 1.184
Te -0.249 0.972 1.149
```

---

#x
First-principles (PBE) data for a relaxed HgTeNO crystal, as listed in OQMD via LeMat-Bulk.

Calculated values
Its space group is Pmc2_1 (26).

```
8
Lattice="3.243 0.000 0.000 0.000 6.611 0.000 0.000 0.000 6.832" Properties=species:S:1:pos:R:3 pbc="T T T"
O 1.621 5.934 6.578
Hg 0.000 6.571 4.709
N 0.000 2.319 4.509
O 1.621 2.628 0.254
Te 1.621 0.078 1.486
N 0.000 5.624 2.323
Hg 0.000 3.265 2.123
Te 1.621 3.383 5.346
```

---

#y
First-principles (PBE) data for a relaxed HgTeNO crystal, as listed in OQMD via LeMat-Bulk.

Calculated values
Its space group is Pca2_1 (29).

```
16
Lattice="-3.208 -5.163 1.629 6.139 -3.160 2.073 -0.773 2.318 5.823" Properties=species:S:1:pos:R:3 pbc="T T T"
Te 2.833 -2.229 5.463
N 0.222 0.841 3.896
Hg 2.467 -5.680 5.074
O 2.459 -1.574 1.724
Hg -0.483 0.198 5.766
Hg -0.093 -0.955 2.853
Te 3.450 -3.017 2.435
N 2.147 -7.479 4.039
N -0.785 -2.562 1.693
O -0.088 -5.069 6.201
Te -0.463 -4.410 2.470
O 1.409 -4.441 2.725
N 3.155 -4.076 6.242
Hg 2.077 -4.527 7.987
O 0.962 -2.202 5.199
Te -1.080 -3.623 5.499
```

---

#z
First-principles (PBE) data for a relaxed HgTeNO crystal, as listed in OQMD via LeMat-Bulk.

Calculated values
Its space group is P4/mmm (123).

```
8
Lattice="-2.108 3.596 -2.554 2.436 -1.411 -3.997 -3.805 -3.100 -1.224" Properties=species:S:1:pos:R:3 pbc="T T T"
Te -1.902 -1.550 -0.612
O 0.000 0.000 0.000
O 0.164 1.092 -3.276
Te -1.739 -0.458 -3.888
N -2.955 0.249 -1.889
Hg -1.054 1.798 -1.277
N -0.686 -2.257 -2.611
Hg 1.218 -0.705 -1.998
```

---

Energies relative to the minimum, kJ/mol of atoms: #w 13.3; #x 10.8; #y 0.0; #z 39.1